(1)
# PBE Sm2HoAl2Zn2, optimized geometry
# DOS(E_F) in states/eV/f.u.: 3.8
# Calculated total energy in eV per cell: -78.8
# Theoretical density in g cm⁻³: 6.62
# Formation energy from the elements in kJ/mol of atoms: -30.4
data_Sm2HoAl2Zn2
_chemical_formula_sum 'Sm6 Ho3 Al6 Zn6'
_space_group_name_H-M_alt 'R -3 m'
_space_group_IT_number 166
_space_group_name_Hall '-R 3 2"'
_cell_length_a 4.5137
_cell_length_b 4.5137
_cell_length_c 27.7367
_cell_angle_alpha 90.00
_cell_angle_beta 90.00
_cell_angle_gamma 120.00
loop_
_atom_site_label
_atom_site_type_symbol
_atom_site_fract_x
_atom_site_fract_y
_atom_site_fract_z
Sm1 Sm 0.0000 0.0000 0.1263
Ho1 Ho 0.0000 0.0000 0.0000
Al1 Al 0.0000 0.0000 0.2681
Zn1 Zn 0.0000 0.0000 0.3935

(2)
# PBE KLiSm2O4, optimized geometry
# ΔE_f (raw) in eV per atom: -2.75
# DOS(E_F) in states/eV/f.u.: 0.0
# Calculated total energy in eV per cell: -217.1
# Theoretical density in g cm⁻³: 5.44
data_KLiSm2O4
_chemical_formula_sum 'K4 Li4 Sm8 O16'
_space_group_name_H-M_alt 'C m c m'
_space_group_IT_number 63
_space_group_name_Hall '-C 2c 2'
_cell_length_a 3.560
_cell_length_b 11.885
_cell_length_c 11.861
_cell_angle_alpha 90.00
_cell_angle_beta 90.00
_cell_angle_gamma 90.00
loop_
_atom_site_label
_atom_site_type_symbol
_atom_site_fract_x
_atom_site_fract_y
_atom_site_fract_z
K1 K 0.000 0.098 0.250
Li1 Li 0.000 0.180 0.750
Sm1 Sm 0.000 0.367 0.058
O1 O 0.000 0.000 0.000
O2 O 0.000 0.252 0.603
O3 O 0.000 0.404 0.250